Record 1
The following is a GGA-PBE calculation of crystalline SrB2P at its relaxed geometry, from Alexandria via LeMat-Bulk.

Calculated values
As for the calculated formation energy: 0.24 eV per atom. As for the symmetry: No. 141.

Cell lengths 7.355, 7.355, 7.355 Å; angles 146.04, 146.04, 48.78 degrees
Sites, in units of the cell vectors:
Sr: 0.375 0.625 0.750
Sr: 0.625 0.375 0.250
B: 0.000 0.000 0.000
B: 0.000 0.000 0.500
B: 0.000 0.500 0.000
B: 0.500 0.000 0.500
P: 0.125 0.875 0.250
P: 0.875 0.125 0.750



Record 2
The following is a GGA-PBE calculation of crystalline SrBP2W at its relaxed geometry, from Alexandria via LeMat-Bulk.

Calculated values
As for the calculated formation energy: 0.69 eV per atom. As for the symmetry: No. 123.

Cell lengths 4.625, 4.625, 4.199 Å; angles 90.00, 90.00, 90.00 degrees
Sites, in units of the cell vectors:
Sr: 0.000 0.000 0.000
B: 0.500 0.500 0.500
P: 0.000 0.500 0.500
P: 0.500 0.000 0.500
W: 0.500 0.500 0.000



Record 3
The following is a GGA-PBE calculation of crystalline Sr2ZnBP at its relaxed geometry, from Alexandria via LeMat-Bulk.

Calculated values
As for the calculated formation energy: 0.69 eV per atom. As for the symmetry: No. 123.

Cell lengths 5.929, 5.929, 4.263 Å; angles 90.00, 90.00, 90.00 degrees
Sites, in units of the cell vectors:
Sr: 0.000 0.500 0.000
Sr: 0.500 0.000 0.000
Zn: 0.000 0.000 0.000
B: 0.500 0.500 0.500
P: 0.000 0.000 0.500



Record 4
The following is a GGA-PBE calculation of crystalline Ta4BP at its relaxed geometry, from Alexandria via LeMat-Bulk.

Calculated values
As for the calculated formation energy: -0.62 eV per atom. As for the symmetry: No. 124.

Cell lengths 5.890, 5.890, 5.084 Å; angles 90.00, 90.00, 90.00 degrees
Sites, in units of the cell vectors:
Ta: 0.155 0.321 0.000
Ta: 0.155 0.679 0.500
Ta: 0.321 0.155 0.500
Ta: 0.321 0.845 0.000
Ta: 0.679 0.155 0.000
Ta: 0.679 0.845 0.500
Ta: 0.845 0.321 0.500
Ta: 0.845 0.679 0.000
B: 0.000 0.000 0.250
B: 0.000 0.000 0.750
P: 0.500 0.500 0.250
P: 0.500 0.500 0.750



Record 5
The following is a GGA-PBE calculation of crystalline TaBP2 at its relaxed geometry, from Alexandria via LeMat-Bulk.

Calculated values
As for the calculated formation energy: 0.05 eV per atom. As for the symmetry: No. 122.

Cell lengths 5.531, 5.531, 5.531 Å; angles 119.44, 119.44, 90.97 degrees
Sites, in units of the cell vectors:
Ta: 0.000 0.000 0.000
Ta: 0.750 0.250 0.500
B: 0.250 0.750 0.500
B: 0.500 0.500 0.000
P: 0.207 0.625 0.082
P: 0.375 0.457 0.582
P: 0.543 0.125 0.918
P: 0.875 0.793 0.418



Record 6
The following is a GGA-PBE calculation of crystalline Ta5B2P at its relaxed geometry, from Alexandria via LeMat-Bulk.

Calculated values
As for the calculated formation energy: -0.74 eV per atom. As for the symmetry: No. 140.

Cell lengths 7.240, 7.240, 7.240 Å; angles 129.28, 129.28, 74.56 degrees
Sites, in units of the cell vectors:
Ta: 0.000 0.000 0.000
Ta: 0.026 0.526 0.833
Ta: 0.193 0.026 0.500
Ta: 0.307 0.807 0.833
Ta: 0.474 0.307 0.500
Ta: 0.500 0.500 0.000
Ta: 0.526 0.693 0.500
Ta: 0.693 0.193 0.167
Ta: 0.807 0.974 0.500
Ta: 0.974 0.474 0.167
B: 0.118 0.382 0.500
B: 0.382 0.882 0.265
B: 0.618 0.118 0.735
B: 0.882 0.618 0.500
P: 0.250 0.250 0.000
P: 0.750 0.750 0.000



Record 7
The following is a GGA-PBE calculation of crystalline TaB3P at its relaxed geometry, from Alexandria via LeMat-Bulk.

Calculated values
Its polymorph energy (0 for the lowest one) is 14.16 kcal/mol of atoms. As for the calculated formation energy: 1.90 eV per atom. As for the symmetry: No. 221.

Cell lengths 4.291, 4.291, 4.291 Å; angles 90.00, 90.00, 90.00 degrees
Sites, in units of the cell vectors:
Ta: 0.000 0.000 0.000
B: 0.000 0.000 0.500
B: 0.000 0.500 0.000
B: 0.500 0.000 0.000
P: 0.500 0.500 0.500



Record 8
The following is a GGA-PBE calculation of crystalline Ta2BP at its relaxed geometry, from Alexandria via LeMat-Bulk.

Calculated values
Its polymorph energy (0 for the lowest one) is 5.33 kcal/mol of atoms. As for the calculated formation energy: 0.20 eV per atom. As for the symmetry: No. 122.

Cell lengths 6.469, 6.469, 6.469 Å; angles 131.87, 131.87, 70.44 degrees
Sites, in units of the cell vectors:
Ta: 0.073 0.625 0.948
Ta: 0.375 0.323 0.448
Ta: 0.677 0.125 0.052
Ta: 0.875 0.927 0.552
B: 0.000 0.000 0.000
B: 0.750 0.250 0.500
P: 0.250 0.750 0.500
P: 0.500 0.500 0.000



Record 9
The following is a GGA-PBE calculation of crystalline Ta2BP at its relaxed geometry, from Alexandria via LeMat-Bulk.

Calculated values
Its polymorph energy (0 for the lowest one) is 0.00 kcal/mol of atoms. As for the calculated formation energy: -0.03 eV per atom. As for the symmetry: No. 225.

Cell lengths 4.249, 4.249, 4.249 Å; angles 60.00, 60.00, 60.00 degrees
Sites, in units of the cell vectors:
Ta: 0.250 0.250 0.250
Ta: 0.750 0.750 0.750
B: 0.000 0.000 0.000
P: 0.500 0.500 0.500



Record 10
The following is a GGA-PBE calculation of crystalline TaB3P at its relaxed geometry, from Alexandria via LeMat-Bulk.

Calculated values
Its polymorph energy (0 for the lowest one) is 0.00 kcal/mol of atoms. As for the calculated formation energy: 1.28 eV per atom. As for the symmetry: No. 221.

Cell lengths 3.801, 3.801, 3.801 Å; angles 90.00, 90.00, 90.00 degrees
Sites, in units of the cell vectors:
Ta: 0.000 0.000 0.000
B: 0.000 0.500 0.500
B: 0.500 0.000 0.500
B: 0.500 0.500 0.000
P: 0.500 0.500 0.500



Record 11
The following is a GGA-PBE calculation of crystalline ZrTa2BP at its relaxed geometry, from Alexandria via LeMat-Bulk.

Calculated values
As for the calculated formation energy: 0.25 eV per atom. As for the symmetry: No. 123.

Cell lengths 4.279, 4.279, 4.639 Å; angles 90.00, 90.00, 90.00 degrees
Sites, in units of the cell vectors:
Zr: 0.000 0.000 0.000
Ta: 0.000 0.500 0.500
Ta: 0.500 0.000 0.500
B: 0.500 0.500 0.500
P: 0.500 0.500 0.000



Record 12
The following is a GGA-PBE calculation of crystalline TbBP at its relaxed geometry, from Alexandria via LeMat-Bulk.

Calculated values
As for the calculated formation energy: -0.81 eV per atom. As for the symmetry: No. 12.

Cell lengths 5.361, 5.361, 5.778 Å; angles 94.21, 94.21, 36.41 degrees
Sites, in units of the cell vectors:
Tb: 0.146 0.146 0.281
Tb: 0.854 0.854 0.719
B: 0.436 0.436 0.395
B: 0.564 0.564 0.605
P: 0.126 0.126 0.776
P: 0.874 0.874 0.224



Record 13
The following is a GGA-PBE calculation of crystalline Tc2BP at its relaxed geometry, from Alexandria via LeMat-Bulk.

Calculated values
Its polymorph energy (0 for the lowest one) is 10.19 kcal/mol of atoms. As for the calculated formation energy: 0.37 eV per atom. As for the symmetry: No. 122.

Cell lengths 6.130, 6.130, 6.130 Å; angles 131.41, 131.41, 71.16 degrees
Sites, in units of the cell vectors:
Tc: 0.085 0.625 0.960
Tc: 0.375 0.335 0.460
Tc: 0.665 0.125 0.040
Tc: 0.875 0.915 0.540
B: 0.000 0.000 0.000
B: 0.750 0.250 0.500
P: 0.250 0.750 0.500
P: 0.500 0.500 0.000



Record 14
The following is a GGA-PBE calculation of crystalline Tc2BP at its relaxed geometry, from Alexandria via LeMat-Bulk.

Calculated values
Its polymorph energy (0 for the lowest one) is 0.00 kcal/mol of atoms. As for the calculated formation energy: -0.08 eV per atom. As for the symmetry: No. 225.

Cell lengths 4.027, 4.027, 4.027 Å; angles 60.00, 60.00, 60.00 degrees
Sites, in units of the cell vectors:
Tc: 0.250 0.250 0.250
Tc: 0.750 0.750 0.750
B: 0.000 0.000 0.000
P: 0.500 0.500 0.500



Record 15
The following is a GGA-PBE calculation of crystalline Tc4BP at its relaxed geometry, from Alexandria via LeMat-Bulk.

Calculated values
As for the calculated formation energy: -0.08 eV per atom. As for the symmetry: No. 14.

Cell lengths 5.544, 5.310, 5.591 Å; angles 90.00, 100.39, 90.00 degrees
Sites, in units of the cell vectors:
Tc: 0.128 0.145 0.189
Tc: 0.128 0.355 0.689
Tc: 0.330 0.656 0.128
Tc: 0.330 0.844 0.628
Tc: 0.670 0.156 0.372
Tc: 0.670 0.344 0.872
Tc: 0.872 0.645 0.311
Tc: 0.872 0.855 0.811
B: 0.000 0.000 0.500
B: 0.000 0.500 0.000
P: 0.500 0.000 0.000
P: 0.500 0.500 0.500



Record 16
The following is a GGA-PBE calculation of crystalline Tc5B2P at its relaxed geometry, from Alexandria via LeMat-Bulk.

Calculated values
As for the calculated formation energy: -0.32 eV per atom. As for the symmetry: No. 140.

Cell lengths 7.276, 7.276, 7.276 Å; angles 134.88, 134.88, 65.72 degrees
Sites, in units of the cell vectors:
Tc: 0.000 0.000 0.000
Tc: 0.027 0.527 0.844
Tc: 0.183 0.027 0.500
Tc: 0.317 0.817 0.844
Tc: 0.473 0.317 0.500
Tc: 0.500 0.500 0.000
Tc: 0.527 0.683 0.500
Tc: 0.683 0.183 0.156
Tc: 0.817 0.973 0.500
Tc: 0.973 0.473 0.156
B: 0.119 0.381 0.500
B: 0.381 0.881 0.262
B: 0.619 0.119 0.738
B: 0.881 0.619 0.500
P: 0.250 0.250 0.000
P: 0.750 0.750 0.000



Record 17
The following is a GGA-PBE calculation of crystalline TcBP2 at its relaxed geometry, from Alexandria via LeMat-Bulk.

Calculated values
As for the calculated formation energy: 0.04 eV per atom. As for the symmetry: No. 122.

Cell lengths 5.753, 5.753, 5.753 Å; angles 126.83, 126.83, 78.53 degrees
Sites, in units of the cell vectors:
Tc: 0.000 0.000 0.000
Tc: 0.750 0.250 0.500
B: 0.250 0.750 0.500
B: 0.500 0.500 0.000
P: 0.181 0.625 0.056
P: 0.375 0.431 0.556
P: 0.569 0.125 0.944
P: 0.875 0.819 0.444



Record 18
The following is a GGA-PBE calculation of crystalline TcB3P at its relaxed geometry, from Alexandria via LeMat-Bulk.

Calculated values
Its polymorph energy (0 for the lowest one) is 0.00 kcal/mol of atoms. As for the calculated formation energy: 1.61 eV per atom. As for the symmetry: No. 221.

Cell lengths 4.107, 4.107, 4.107 Å; angles 90.00, 90.00, 90.00 degrees
Sites, in units of the cell vectors:
Tc: 0.000 0.000 0.000
B: 0.000 0.000 0.500
B: 0.000 0.500 0.000
B: 0.500 0.000 0.000
P: 0.500 0.500 0.500



Record 19
The following is a GGA-PBE calculation of crystalline TcB3P at its relaxed geometry, from Alexandria via LeMat-Bulk.

Calculated values
Its polymorph energy (0 for the lowest one) is 0.52 kcal/mol of atoms. As for the calculated formation energy: 1.63 eV per atom. As for the symmetry: No. 221.

Cell lengths 3.784, 3.784, 3.784 Å; angles 90.00, 90.00, 90.00 degrees
Sites, in units of the cell vectors:
Tc: 0.000 0.000 0.000
B: 0.000 0.500 0.500
B: 0.500 0.000 0.500
B: 0.500 0.500 0.000
P: 0.500 0.500 0.500



Record 20
The following is a GGA-PBE calculation of crystalline VTcBP2 at its relaxed geometry, from Alexandria via LeMat-Bulk.

Calculated values
As for the calculated formation energy: 0.65 eV per atom. As for the symmetry: No. 123.

Cell lengths 4.171, 4.171, 3.820 Å; angles 90.00, 90.00, 90.00 degrees
Sites, in units of the cell vectors:
V: 0.000 0.000 0.000
Tc: 0.500 0.500 0.000
B: 0.500 0.500 0.500
P: 0.000 0.500 0.500
P: 0.500 0.000 0.500



Record 21
The following is a GGA-PBE calculation of crystalline BTeP2 at its relaxed geometry, from Alexandria via LeMat-Bulk.

Calculated values
Its polymorph energy (0 for the lowest one) is 25.17 kcal/mol of atoms. As for the symmetry: No. 225. The value obtained for the uncorrected formation energy is 1.400 eV per atom.

Cell lengths 4.519, 4.519, 4.519 Å; angles 60.00, 60.00, 60.00 degrees
Sites, in units of the cell vectors:
B: 0.000 0.000 0.000
Te: 0.500 0.500 0.500
P: 0.250 0.250 0.250
P: 0.750 0.750 0.750



Record 22
The following is a GGA-PBE calculation of crystalline BTeP3 at its relaxed geometry, from Alexandria via LeMat-Bulk.

Calculated values
Its polymorph energy (0 for the lowest one) is 0.00 kcal/mol of atoms. As for the symmetry: No. 221. The value obtained for the uncorrected formation energy is 0.815 eV per atom.

Cell lengths 4.269, 4.269, 4.269 Å; angles 90.00, 90.00, 90.00 degrees
Sites, in units of the cell vectors:
B: 0.000 0.000 0.000
Te: 0.500 0.500 0.500
P: 0.000 0.000 0.500
P: 0.000 0.500 0.000
P: 0.500 0.000 0.000



Record 23
The following is a GGA-PBE calculation of crystalline BTe3P at its relaxed geometry, from Alexandria via LeMat-Bulk.

Calculated values
Its polymorph energy (0 for the lowest one) is 0.00 kcal/mol of atoms. As for the symmetry: No. 221. The value obtained for the uncorrected formation energy is 0.976 eV per atom.

Cell lengths 4.819, 4.819, 4.819 Å; angles 90.00, 90.00, 90.00 degrees
Sites, in units of the cell vectors:
B: 0.000 0.000 0.000
Te: 0.000 0.000 0.500
Te: 0.000 0.500 0.000
Te: 0.500 0.000 0.000
P: 0.500 0.500 0.500



Record 24
The following is a GGA-PBE calculation of crystalline BTeP3 at its relaxed geometry, from Alexandria via LeMat-Bulk.

Calculated values
Its polymorph energy (0 for the lowest one) is 31.82 kcal/mol of atoms. As for the symmetry: No. 221. The value obtained for the uncorrected formation energy is 2.194 eV per atom.

Cell lengths 5.092, 5.092, 5.092 Å; angles 90.00, 90.00, 90.00 degrees
Sites, in units of the cell vectors:
B: 0.000 0.000 0.000
Te: 0.500 0.500 0.500
P: 0.000 0.500 0.500
P: 0.500 0.000 0.500
P: 0.500 0.500 0.000



Record 25
The following is a GGA-PBE calculation of crystalline B3TeP at its relaxed geometry, from Alexandria via LeMat-Bulk.

Calculated values
Its polymorph energy (0 for the lowest one) is 0.00 kcal/mol of atoms. As for the symmetry: No. 221. The value obtained for the uncorrected formation energy is 1.341 eV per atom.

Cell lengths 4.033, 4.033, 4.033 Å; angles 90.00, 90.00, 90.00 degrees
Sites, in units of the cell vectors:
B: 0.000 0.000 0.500
B: 0.000 0.500 0.000
B: 0.500 0.000 0.000
Te: 0.500 0.500 0.500
P: 0.000 0.000 0.000



Record 26
The following is a GGA-PBE calculation of crystalline BTeP at its relaxed geometry, from Alexandria via LeMat-Bulk.

Calculated values
As for the symmetry: No. 14. The value obtained for the uncorrected formation energy is 0.071 eV per atom.

Cell lengths 8.304, 6.105, 5.064 Å; angles 90.00, 107.10, 90.00 degrees
Sites, in units of the cell vectors:
B: 0.106 0.090 0.250
B: 0.106 0.410 0.750
B: 0.894 0.590 0.250
B: 0.894 0.910 0.750
Te: 0.312 0.540 0.122
Te: 0.312 0.960 0.622
Te: 0.688 0.040 0.378
Te: 0.688 0.460 0.878
P: 0.102 0.098 0.859
P: 0.102 0.402 0.359
P: 0.898 0.598 0.641
P: 0.898 0.902 0.141



Which total DFT energy (no corrections) belongs to each record? In order, -4.88; -5.73; -2.65; -10.53; -7.28; -10.50; -5.56; -8.75; -8.98; -6.17; -8.62; -6.38; -7.84; -8.28; -9.00; -9.14; -6.92; -5.55; -5.53; -6.75; -3.76; -4.40; -3.33; -3.02; -4.38; -5.01 eV per atom.